The following is a PBE calculation of an optimized crystal structure of Nb5Ge4Ru4, from Alexandria.

Cell and atoms, written as POSCAR:
```
Nb5Ge4Ru4
1.0
0.040 -0.443 3.773
1.351 -7.464 1.023
7.314 1.109 1.965
Nb Ge Ru
5 4 4
Direct
0.000 0.000 0.000
0.381 0.321 0.917
0.298 0.083 0.321
0.702 0.917 0.679
0.619 0.679 0.083
0.245 0.687 0.822
0.932 0.822 0.313
0.068 0.178 0.687
0.755 0.313 0.178
0.899 0.524 0.678
0.101 0.476 0.322
0.577 0.322 0.524
0.423 0.678 0.476
```

Properties
The value obtained for the spin magnetization is 0.00 Bohr magnetons per cell. For the energy of formation, the calculation gives -5.12 eV/f.u. The crystal system is tetragonal. The value obtained for the theoretical density is 9.22 g/cm3.

***

The following is a PBE calculation of an optimized crystal structure of Nb2GeRu5, from Alexandria.

Cell and atoms, written as POSCAR:
```
Nb2GeRu5
1.0
4.077 0.000 0.000
0.000 5.449 0.000
0.000 0.000 10.762
Ru Nb Ge
10 4 2
Direct
0.000 0.926 0.752
0.000 0.574 0.252
0.500 0.812 0.391
0.500 0.688 0.891
0.000 0.426 0.748
0.500 0.312 0.109
0.000 0.000 0.000
0.000 0.074 0.248
0.500 0.188 0.609
0.000 0.500 0.500
0.500 0.824 0.140
0.500 0.676 0.640
0.500 0.324 0.360
0.500 0.176 0.860
0.000 0.500 0.000
0.000 0.000 0.500
```

Properties
The value obtained for the spin magnetization is 0.00 Bohr magnetons per cell. For the energy of formation, the calculation gives -2.49 eV/f.u. The crystal system is orthorhombic. The value obtained for the theoretical density is 10.61 g/cm3.

***

The following is a PBE calculation of an optimized crystal structure of Nb2GeRu6, from Alexandria.

Cell and atoms, written as POSCAR:
```
Nb2GeRu6
1.0
-2.313 -0.086 1.571
0.813 -8.167 0.763
4.040 4.911 3.714
Ge Ru Nb
1 6 2
Direct
0.000 0.000 0.000
0.186 0.345 0.371
0.184 0.025 0.371
0.816 0.975 0.629
0.502 0.729 0.000
0.498 0.271 0.000
0.814 0.655 0.629
0.868 0.368 0.737
0.132 0.632 0.263
```

Properties
The value obtained for the spin magnetization is 0.00 Bohr magnetons per cell. For the energy of formation, the calculation gives -0.30 eV/f.u. The crystal system is orthorhombic. The value obtained for the theoretical density is 10.49 g/cm3.

***

What did the second record say?
The following is a PBE calculation of an optimized crystal structure of Nb2GeRu5, from Alexandria.

Cell and atoms, written as POSCAR:
```
Nb2GeRu5
1.0
4.077 0.000 0.000
0.000 5.449 0.000
0.000 0.000 10.762
Ru Nb Ge
10 4 2
Direct
0.000 0.926 0.752
0.000 0.574 0.252
0.500 0.812 0.391
0.500 0.688 0.891
0.000 0.426 0.748
0.500 0.312 0.109
0.000 0.000 0.000
0.000 0.074 0.248
0.500 0.188 0.609
0.000 0.500 0.500
0.500 0.824 0.140
0.500 0.676 0.640
0.500 0.324 0.360
0.500 0.176 0.860
0.000 0.500 0.000
0.000 0.000 0.500
```

Properties
The value obtained for the spin magnetization is 0.00 Bohr magnetons per cell. For the energy of formation, the calculation gives -2.49 eV/f.u. The crystal system is orthorhombic. The value obtained for the theoretical density is 10.61 g/cm3.